(1)
Sr2Pd6Pb | PBE-GGA | relaxed

Results
Spin magnetization   0.00 μB per formula unit
Energy of formation   -474.4 meV/atom
Mass density   8.87 g cm⁻³

POSCAR file:
```
Sr2Pd6Pb
1.0
5.941 0.000 0.000
-2.970 4.999 1.181
0.000 0.137 6.467
Sr Pd Pb
2 6 1
Direct
0.639 0.279 0.175 Sr
0.361 0.721 0.825 Sr
0.875 0.283 0.674 Pd
0.882 0.764 0.670 Pd
0.408 0.283 0.674 Pd
0.125 0.717 0.326 Pd
0.118 0.236 0.330 Pd
0.592 0.717 0.326 Pd
0.000 0.000 0.000 Pb
```

(2)
Cs2Tl2Cd | PBE-GGA | relaxed

Results
Spin magnetization   0.00 μB per formula unit
Energy of formation   143.0 meV/atom
Mass density   4.96 g cm⁻³
Offset from the most stable computed form   218 meV/atom

POSCAR file:
```
Cs2Tl2Cd
1.0
-6.473 1.884 -9.289
-6.128 -9.413 2.362
-2.518 2.191 2.199
Cs Tl Cd
4 4 2
Direct
0.799 0.299 0.000 Cs
0.701 0.799 0.000 Cs
0.201 0.701 0.000 Cs
0.299 0.201 0.000 Cs
0.591 0.091 0.500 Tl
0.909 0.591 0.500 Tl
0.409 0.909 0.500 Tl
0.091 0.409 0.500 Tl
0.000 0.000 0.000 Cd
0.500 0.500 0.000 Cd
```

(3)
MoH2Pd2 | PBE-GGA | relaxed

Results
E   -53.1 eV/cell
Spin magnetization   0.78 μB per formula unit
Mass density   9.16 g cm⁻³

POSCAR file:
```
MoH2Pd2
1.0
-5.314 -1.318 -3.199
3.423 -1.144 -5.214
0.224 -2.694 0.738
H Mo Pd
4 2 4
Direct
0.278 0.778 0.000 H
0.778 0.722 0.000 H
0.722 0.222 0.000 H
0.222 0.278 0.000 H
0.000 0.000 0.000 Mo
0.500 0.500 0.000 Mo
0.155 0.655 0.500 Pd
0.655 0.845 0.500 Pd
0.845 0.345 0.500 Pd
0.345 0.155 0.500 Pd
```

(4)
NdSm2Pb9 | PBE-GGA | relaxed

Results
Spin magnetization   0.00 μB per formula unit
Energy of formation   -353.9 meV/atom
Mass density   10.76 g cm⁻³

POSCAR file:
```
NdSm2Pb9
1.0
-2.920 3.476 -1.888
-2.955 -0.357 3.913
7.888 10.378 6.905
Nd Sm Pb
1 2 9
Direct
0.000 0.000 0.000 Nd
0.000 0.000 0.334 Sm
0.000 0.000 0.666 Sm
0.500 0.500 0.000 Pb
0.500 0.500 0.334 Pb
0.500 0.500 0.666 Pb
0.500 0.000 0.168 Pb
0.500 0.000 0.500 Pb
0.500 0.000 0.832 Pb
0.000 0.500 0.168 Pb
0.000 0.500 0.500 Pb
0.000 0.500 0.832 Pb
```

(5)
MnAu2Br | PBE-GGA | relaxed

Results
Uncorrected formation energy   0.312 eV/atom
Spin magnetization   4.21 μB per formula unit
Mass density   11.18 g cm⁻³
Offset from the most stable computed form   361 meV/atom

POSCAR file:
```
MnAu2Br
1.0
4.806 -0.091 0.000
0.093 4.806 0.000
-2.450 -2.358 3.398
Au Br Mn
2 1 1
Direct
0.000 0.000 0.000 Au
0.250 0.750 0.500 Au
0.500 0.500 0.000 Br
0.750 0.250 0.500 Mn
```

(6)
Sr2GaSn3Rh4 | PBE-GGA | relaxed

Results
Spin magnetization   0.00 μB per formula unit
Energy of formation   -642.0 meV/atom
Mass density   7.66 g cm⁻³

POSCAR file:
```
Sr2GaSn3Rh4
1.0
4.518 0.000 0.000
0.000 4.518 0.000
0.000 0.000 10.757
Sr Ga Sn Rh
2 1 3 4
Direct
0.500 0.000 0.249 Sr
0.000 0.500 0.751 Sr
0.500 0.500 0.500 Ga
0.000 0.000 0.500 Sn
0.500 0.000 0.871 Sn
0.000 0.500 0.129 Sn
0.500 0.500 0.000 Rh
0.000 0.000 0.000 Rh
0.500 0.000 0.624 Rh
0.000 0.500 0.376 Rh
```